Entry 1:
A geometry-optimized Ho3Cu4Ge4 structure. Source: Alexandria, functional PBE.

abc: 4.190 6.644 7.989
angles: 114.56 105.23 90.00
Element x y z (fractional)
Ge 0.783 0.283 0.566
Ge 0.217 0.717 0.434
Ge 0.500 0.808 0.000
Ge 0.500 0.192 0.000
Ho 0.871 0.870 0.741
Ho 0.129 0.130 0.259
Ho 0.000 0.500 0.000
Cu 0.669 0.479 0.338
Cu 0.331 0.142 0.662
Cu 0.331 0.521 0.662
Cu 0.669 0.858 0.338

Results
energy of formation: -633.2 meV/atom
space-group type: Immm
DOS at the Fermi energy: 2.48 states/eV/cell


Entry 2:
A geometry-optimized Ho3Cu2Ge4 structure. Source: Alexandria, functional PBE.

abc: 4.189 5.724 8.153
angles: 106.16 90.00 111.46
Element x y z (fractional)
Ho 0.629 0.257 0.693
Ho 0.000 0.000 0.000
Ho 0.371 0.743 0.307
Cu 0.686 0.373 0.364
Cu 0.314 0.627 0.636
Ge 0.708 0.417 0.072
Ge 0.292 0.583 0.928
Ge 0.920 0.841 0.604
Ge 0.080 0.159 0.396

Results
energy of formation: -663.9 meV/atom
space-group type: C2/m
DOS at the Fermi energy: 1.91 states/eV/cell